VASP calculation (GGA-PBE) on a relaxed KPu2ScO8 crystal.

Calculated values
* space group: Cmmm (65)

```
KPu2ScO8
1.0
3.475 -3.654 0.000
3.475 3.654 0.000
0.000 0.000 6.945
K Pu Sc O
1 2 1 8
direct
0.000 0.000 0.000
0.500 0.500 0.257
0.500 0.500 0.743
0.000 0.000 0.500
0.222 0.222 0.284
0.222 0.222 0.716
0.300 0.700 0.500
0.337 0.663 0.000
0.663 0.337 0.000
0.700 0.300 0.500
0.778 0.778 0.284
0.778 0.778 0.716
```


VASP calculation (GGA-PBE) on a relaxed KPu2SeO4 crystal.

Calculated values
* space group: P4/mmm (123)

```
KPu2SeO4
1.0
3.841 0.000 0.000
0.000 3.841 0.000
0.000 0.000 9.664
K Pu Se O
1 2 1 4
direct
0.000 0.000 0.000
0.500 0.500 0.295
0.500 0.500 0.705
0.000 0.000 0.500
0.000 0.500 0.205
0.000 0.500 0.795
0.500 0.000 0.205
0.500 0.000 0.795
```


Ordered mass density results: 6592; 7806; unit kg/m3.
Ordered energy relative to the elements, uncorrected results: -2.57; -2.25; unit eV per atom.